VASP calculation (GGA-PBE) on crystalline KAu2I4 at its relaxed geometry.

Its uncorrected formation energy is -0.413 eV/atom. The excess energy over the best structure of this formula in the dataset is 0 meV per atom. The total energy is -2.392 eV/atom. The value obtained for the mass density is 4.76 g cm⁻³.

The structure belongs to space group P-1 (No. 2); the cell edges are 8.331, 8.901 and 10.163 Å and the angles 84.97°, 79.62° and 62.34°. The inequivalent atoms are K at (0.196, 0.108, 0.249), Au at (0.000, 0.000, 0.000), Au at (0.500, 0.000, 0.500), Au at (0.500, 0.500, 0.000), Au at (0.500, 0.500, 0.500), I at (0.108, 0.676, 0.019), I at (0.183, 0.792, 0.492), I at (0.287, 0.324, 0.519) and I at (0.474, 0.210, 0.989).